ScTa2Mn | meta-GGA SCAN | single point on PBEsol structure

Properties
- volume (Å³ per atom) = 16.97
- polymorph energy (0 for the lowest one) (eV/f.u.) = 1.032
- calculated formation energy (eV per atom) = 0.31
- electronic total energy (Ha/atom) = -1.51044

abc: 8.888 8.888 8.888
angles: 19.42 19.42 19.42
Element x y z (fractional)
Sc 0.000 0.000 0.000
Ta 0.236 0.236 0.236
Ta 0.480 0.480 0.480
Mn 0.746 0.746 0.746